5
Lattice="4.675 0.000 0.000 0.000 4.675 0.000 0.000 0.000 4.675" Properties=species:S:1:pos:R:3 comment="PBE-GGA RbCuOs3, optimized geometry" e_form_ev_per_fu=12.19 magnetic_moment_mub_per_cell=2.78 rho_g_cm3=11.70 dft_energy_ev_per_atom=-5.313 dos_ef_per_ev_atom=1.699 polymorph_energy_ev_per_atom=0.000 pbc="T T T"
Rb 2.337 2.337 2.337
Os 0.000 0.000 2.337
Os 0.000 2.337 0.000
Os 2.337 0.000 0.000
Cu 0.000 0.000 0.000


12
Lattice="-3.803 3.094 1.356 -7.099 -3.653 -2.035 -2.341 -1.250 5.828" Properties=species:S:1:pos:R:3 comment="PBE-GGA Li7PrAg4, optimized geometry" e_form_ev_per_fu=0.02 magnetic_moment_mub_per_cell=0.00 rho_g_cm3=4.41 dft_energy_ev_per_atom=-2.463 dos_ef_per_ev_atom=0.517 pbc="T T T"
Li -5.179 -2.386 0.459
Li -2.791 -0.355 2.524
Li -7.204 -2.066 3.589
Li -6.038 0.257 1.559
Li -8.063 0.577 4.689
Li -1.901 1.547 0.678
Li -10.452 -1.454 2.624
Ag -9.619 -1.520 5.112
Ag -8.144 -2.142 1.129
Ag -3.623 -0.289 0.036
Ag -5.099 0.333 4.020
Pr 0.000 0.000 0.000


4
Lattice="5.160 0.005 -0.038 0.613 5.124 -0.038 0.756 0.671 2.740" Properties=species:S:1:pos:R:3 comment="PBE-GGA TaHgP2, optimized geometry" e_form_ev_per_fu=1.48 magnetic_moment_mub_per_cell=0.00 rho_g_cm3=10.13 dft_energy_ev_per_atom=-5.375 dos_ef_per_ev_atom=0.457 pbc="T T T"
Hg 0.684 2.897 1.351
Ta 2.958 0.338 1.351
P 2.887 2.564 -0.038
P 0.000 0.000 0.000


10
Lattice="5.716 0.000 0.000 2.858 4.951 0.000 2.858 1.650 5.002" Properties=species:S:1:pos:R:3 comment="PBE-GGA SmNbCd2O6, optimized geometry" magnetic_moment_mub_per_cell=0.00 rho_g_cm3=6.62 e_form_raw_mev_per_atom=-2174 dft_energy_ev_per_atom=-6.811 dos_ef_per_ev_atom=0.000 pbc="T T T"
O 7.890 3.232 1.255
O 6.430 1.884 3.897
O 4.569 1.452 1.255
O 4.133 3.390 3.897
O 4.689 5.218 1.255
O 6.585 4.627 3.897
Cd 5.716 3.300 2.044
Cd 2.858 1.650 4.413
Sm 8.574 4.951 2.857
Nb 2.858 1.650 0.314


12
Lattice="5.225 0.000 0.000 0.000 5.293 0.000 0.000 -2.647 7.001" Properties=species:S:1:pos:R:3 comment="PBE-GGA HoCo3GeP, optimized geometry" e_form_ev_per_fu=-2.54 magnetic_moment_mub_per_cell=0.00 rho_g_cm3=7.64 dft_energy_ev_per_atom=-6.410 dos_ef_per_ev_atom=0.419 pbc="T T T"
P 3.918 2.647 1.184
P 1.306 0.000 5.816
Co 2.612 1.361 0.000
Co 3.918 2.647 3.317
Co 1.306 0.000 3.684
Co 0.000 1.361 0.000
Co 2.612 3.932 0.000
Co 0.000 3.932 0.000
Ge 3.918 2.647 5.612
Ge 1.306 0.000 1.389
Ho 3.918 0.000 4.110
Ho 1.306 2.647 2.891


12
Lattice="-4.885 -3.915 -3.835 0.873 -6.153 5.170 -5.064 5.887 0.439" Properties=species:S:1:pos:R:3 comment="PBE-GGA TlIn2BrF2, optimized geometry" magnetic_moment_mub_per_cell=0.00 rho_g_cm3=5.01 e_form_raw_mev_per_atom=-1345 dft_energy_ev_per_atom=-3.554 dos_ef_per_ev_atom=0.000 pbc="T T T"
Tl -1.907 -4.583 3.596
Tl -7.168 0.402 -1.821
In -0.811 -0.889 1.774
In -3.137 -2.753 -0.052
In -5.938 -1.427 1.827
In -8.264 -3.291 0.001
F -6.531 -1.791 -0.392
F -2.201 -0.643 -0.053
F -2.544 -2.389 2.167
F -6.874 -3.538 1.828
Br -5.046 2.317 0.549
Br -4.029 -6.498 1.226